Entry from the Alexandria database: a relaxed YWCl2 crystal (GGA-PBE).

Cell and atoms, written as POSCAR:
```
YWCl2
1.0
3.058 0.000 0.000
0.000 5.946 0.000
0.000 0.000 8.816
Y W Cl
2 2 4
Direct
0.000 0.000 0.000 Y
0.500 0.500 0.000 Y
0.000 0.000 0.500 W
0.500 0.500 0.500 W
0.000 0.500 0.275 Cl
0.000 0.500 0.725 Cl
0.500 0.000 0.275 Cl
0.500 0.000 0.725 Cl
```

Summary:
V ... 80 Å³/f.u.
Formation energy (no corrections) ... 135.0 meV/atom
Calculated total energy ... -5.643 eV/atom
Space group ... Cmmm (65)
ΔE to the lowest computed polymorph ... 0.682 eV per atom



Entry from the Alexandria database: a relaxed ZnWCl2 crystal (GGA-PBE).

Cell and atoms, written as POSCAR:
```
ZnWCl2
1.0
8.202 0.000 0.000
0.000 8.202 0.000
0.000 0.000 5.317
Zn W Cl
4 4 8
Direct
0.000 0.000 0.000 Zn
0.000 0.500 0.250 Zn
0.500 0.000 0.750 Zn
0.500 0.500 0.500 Zn
0.000 0.000 0.500 W
0.000 0.500 0.750 W
0.500 0.000 0.250 W
0.500 0.500 0.000 W
0.118 0.250 0.625 Cl
0.250 0.618 0.875 Cl
0.250 0.882 0.375 Cl
0.382 0.250 0.125 Cl
0.618 0.750 0.125 Cl
0.750 0.118 0.375 Cl
0.750 0.382 0.875 Cl
0.882 0.750 0.625 Cl
```

Summary:
V ... 89 Å³/f.u.
Formation energy (no corrections) ... 319.4 meV/atom
Calculated total energy ... -4.161 eV/atom
Space group ... I-42d (122)
ΔE to the lowest computed polymorph ... 0.401 eV per atom



Entry from the Alexandria database: a relaxed ZnWCl2 crystal (GGA-PBE).

Cell and atoms, written as POSCAR:
```
ZnWCl2
1.0
3.789 0.000 0.000
0.000 3.789 0.000
0.000 0.000 10.579
Zn W Cl
2 2 4
Direct
0.000 0.000 0.000 Zn
0.500 0.500 0.500 Zn
0.000 0.500 0.250 W
0.500 0.000 0.750 W
0.000 0.000 0.500 Cl
0.000 0.500 0.750 Cl
0.500 0.000 0.250 Cl
0.500 0.500 0.000 Cl
```

Summary:
V ... 76 Å³/f.u.
Formation energy (no corrections) ... 895.9 meV/atom
Calculated total energy ... -3.584 eV/atom
Space group ... I-4m2 (119)
ΔE to the lowest computed polymorph ... 0.977 eV per atom



Entry from the Alexandria database: a relaxed ZnWCl2 crystal (GGA-PBE).

Cell and atoms, written as POSCAR:
```
ZnWCl2
1.0
5.777 0.000 0.000
0.000 8.042 0.000
0.000 0.000 2.977
Zn W Cl
2 2 4
Direct
0.000 0.000 0.000 Zn
0.500 0.500 0.000 Zn
0.000 0.500 0.000 W
0.500 0.000 0.000 W
0.250 0.250 0.500 Cl
0.250 0.750 0.500 Cl
0.750 0.250 0.500 Cl
0.750 0.750 0.500 Cl
```

Summary:
V ... 69 Å³/f.u.
Formation energy (no corrections) ... 845.3 meV/atom
Calculated total energy ... -3.635 eV/atom
Space group ... Cmmm (65)
ΔE to the lowest computed polymorph ... 0.926 eV per atom



Entry from the Alexandria database: a relaxed ZnWCl2 crystal (GGA-PBE).

Cell and atoms, written as POSCAR:
```
ZnWCl2
1.0
14.929 0.000 0.000
0.000 2.934 0.000
-1.481 0.000 4.471
Zn W Cl
2 2 4
Direct
0.000 0.000 0.000 Zn
0.500 0.500 0.000 Zn
0.000 0.500 0.500 W
0.500 0.000 0.500 W
0.142 0.000 0.640 Cl
0.358 0.500 0.360 Cl
0.642 0.500 0.640 Cl
0.858 0.000 0.360 Cl
```

Summary:
V ... 98 Å³/f.u.
Formation energy (no corrections) ... -45.5 meV/atom
Calculated total energy ... -4.526 eV/atom
Space group ... C2/m (12)
ΔE to the lowest computed polymorph ... 0.036 eV per atom



Entry from the Alexandria database: a relaxed ZnWCl2 crystal (GGA-PBE).

Cell and atoms, written as POSCAR:
```
ZnWCl2
1.0
3.070 0.000 0.000
-1.535 2.659 0.000
0.000 0.000 30.429
Zn W Cl
3 3 6
Direct
0.000 0.000 0.000 Zn
0.333 0.667 0.667 Zn
0.667 0.333 0.333 Zn
0.000 0.000 0.500 W
0.333 0.667 0.167 W
0.667 0.333 0.833 W
0.000 0.000 0.225 Cl
0.000 0.000 0.775 Cl
0.333 0.667 0.442 Cl
0.333 0.667 0.892 Cl
0.667 0.333 0.108 Cl
0.667 0.333 0.558 Cl
```

Summary:
V ... 83 Å³/f.u.
Formation energy (no corrections) ... 75.9 meV/atom
Calculated total energy ... -4.404 eV/atom
Space group ... R-3m (166)
ΔE to the lowest computed polymorph ... 0.157 eV per atom



Entry from the Alexandria database: a relaxed ZnWCl2 crystal (GGA-PBE).

Cell and atoms, written as POSCAR:
```
ZnWCl2
1.0
6.781 0.000 0.000
0.000 6.781 0.000
0.000 0.000 6.781
Zn W Cl
4 4 8
Direct
0.000 0.000 0.000 Zn
0.000 0.500 0.500 Zn
0.500 0.000 0.500 Zn
0.500 0.500 0.000 Zn
0.250 0.250 0.750 W
0.250 0.750 0.250 W
0.750 0.250 0.250 W
0.750 0.750 0.750 W
0.000 0.000 0.500 Cl
0.000 0.500 0.000 Cl
0.250 0.250 0.250 Cl
0.250 0.750 0.750 Cl
0.500 0.000 0.000 Cl
0.500 0.500 0.500 Cl
0.750 0.250 0.750 Cl
0.750 0.750 0.250 Cl
```

Summary:
V ... 78 Å³/f.u.
Formation energy (no corrections) ... 1052.0 meV/atom
Calculated total energy ... -3.428 eV/atom
Space group ... F-43m (216)
ΔE to the lowest computed polymorph ... 1.133 eV per atom



Entry from the Alexandria database: a relaxed ZnWCl2 crystal (GGA-PBE).

Cell and atoms, written as POSCAR:
```
ZnWCl2
1.0
3.053 0.000 0.000
0.000 5.657 0.000
0.000 0.000 9.511
Zn W Cl
2 2 4
Direct
0.000 0.000 0.000 Zn
0.500 0.500 0.000 Zn
0.000 0.500 0.235 W
0.500 0.000 0.235 W
0.000 0.000 0.431 Cl
0.000 0.500 0.819 Cl
0.500 0.000 0.819 Cl
0.500 0.500 0.431 Cl
```

Summary:
V ... 82 Å³/f.u.
Formation energy (no corrections) ... 9.6 meV/atom
Calculated total energy ... -4.471 eV/atom
Space group ... Cmm2 (35)
ΔE to the lowest computed polymorph ... 0.091 eV per atom



Entry from the Alexandria database: a relaxed ZnWCl2 crystal (GGA-PBE).

Cell and atoms, written as POSCAR:
```
ZnWCl2
1.0
2.951 0.000 0.000
0.000 4.597 0.000
0.000 0.000 12.478
Zn W Cl
2 2 4
Direct
0.000 0.000 0.000 Zn
0.500 0.500 0.500 Zn
0.000 0.500 0.677 W
0.500 0.000 0.177 W
0.000 0.000 0.336 Cl
0.000 0.500 0.161 Cl
0.500 0.000 0.661 Cl
0.500 0.500 0.836 Cl
```

Summary:
V ... 85 Å³/f.u.
Formation energy (no corrections) ... 326.0 meV/atom
Calculated total energy ... -4.154 eV/atom
Space group ... Imm2 (44)
ΔE to the lowest computed polymorph ... 0.407 eV per atom



Entry from the Alexandria database: a relaxed ZnWCl3 crystal (GGA-PBE).

Cell and atoms, written as POSCAR:
```
ZnWCl3
1.0
4.848 0.000 0.000
0.000 4.848 0.000
0.000 0.000 4.848
Zn W Cl
1 1 3
Direct
0.000 0.000 0.000 Zn
0.500 0.500 0.500 W
0.000 0.500 0.500 Cl
0.500 0.000 0.500 Cl
0.500 0.500 0.000 Cl
```

Summary:
V ... 114 Å³/f.u.
Formation energy (no corrections) ... 53.8 meV/atom
Calculated total energy ... -3.900 eV/atom
Space group ... Pm-3m (221)
ΔE to the lowest computed polymorph ... 0.000 eV per atom



Entry from the Alexandria database: a relaxed ZnWCl3 crystal (GGA-PBE).

Cell and atoms, written as POSCAR:
```
ZnWCl3
1.0
4.848 0.000 0.000
0.000 4.848 0.000
0.000 0.000 4.848
Zn W Cl
1 1 3
Direct
0.000 0.000 0.000 Zn
0.500 0.500 0.500 W
0.000 0.000 0.500 Cl
0.000 0.500 0.000 Cl
0.500 0.000 0.000 Cl
```

Summary:
V ... 114 Å³/f.u.
Formation energy (no corrections) ... 605.0 meV/atom
Calculated total energy ... -3.348 eV/atom
Space group ... Pm-3m (221)
ΔE to the lowest computed polymorph ... 0.551 eV per atom



Entry from the Alexandria database: a relaxed ZnWCl2 crystal (GGA-PBE).

Cell and atoms, written as POSCAR:
```
ZnWCl2
1.0
5.771 0.000 0.000
0.000 8.776 0.000
-0.902 0.000 2.768
Zn W Cl
2 2 4
Direct
0.000 0.000 0.000 Zn
0.500 0.500 0.000 Zn
0.000 0.500 0.000 W
0.500 0.000 0.000 W
0.250 0.250 0.000 Cl
0.250 0.750 0.000 Cl
0.750 0.250 0.000 Cl
0.750 0.750 0.000 Cl
```

Summary:
V ... 70 Å³/f.u.
Formation energy (no corrections) ... 563.9 meV/atom
Calculated total energy ... -3.916 eV/atom
Space group ... C2/m (12)
ΔE to the lowest computed polymorph ... 0.645 eV per atom



Entry from the Alexandria database: a relaxed ZnWCl2 crystal (GGA-PBE).

Cell and atoms, written as POSCAR:
```
ZnWCl2
1.0
2.911 0.000 0.000
0.000 5.734 0.000
0.000 0.000 10.383
Zn W Cl
2 2 4
Direct
0.000 0.000 0.000 Zn
0.500 0.500 0.000 Zn
0.000 0.000 0.500 W
0.500 0.500 0.500 W
0.000 0.500 0.311 Cl
0.000 0.500 0.689 Cl
0.500 0.000 0.311 Cl
0.500 0.000 0.689 Cl
```

Summary:
V ... 87 Å³/f.u.
Formation energy (no corrections) ... 131.9 meV/atom
Calculated total energy ... -4.348 eV/atom
Space group ... Cmmm (65)
ΔE to the lowest computed polymorph ... 0.213 eV per atom



Entry from the Alexandria database: a relaxed ZnWCl2 crystal (GGA-PBE).

Cell and atoms, written as POSCAR:
```
ZnWCl2
1.0
4.461 0.000 0.000
0.000 3.036 0.000
-2.224 0.000 7.210
Zn W Cl
1 1 2
Direct
0.000 0.000 0.000 Zn
0.528 0.500 0.055 W
0.368 0.500 0.734 Cl
0.658 0.000 0.317 Cl
```

Summary:
V ... 98 Å³/f.u.
Formation energy (no corrections) ... -81.1 meV/atom
Calculated total energy ... -4.561 eV/atom
Space group ... Pm (6)
ΔE to the lowest computed polymorph ... 0.000 eV per atom



Entry from the Alexandria database: a relaxed ZnWCl2 crystal (GGA-PBE).

Cell and atoms, written as POSCAR:
```
ZnWCl2
1.0
4.568 0.000 0.000
0.000 4.568 0.000
0.000 0.000 6.220
Zn W Cl
2 2 4
Direct
0.000 0.000 0.000 Zn
0.500 0.500 0.500 Zn
0.000 0.000 0.500 W
0.500 0.500 0.000 W
0.000 0.500 0.250 Cl
0.000 0.500 0.750 Cl
0.500 0.000 0.250 Cl
0.500 0.000 0.750 Cl
```

Summary:
V ... 65 Å³/f.u.
Formation energy (no corrections) ... 879.0 meV/atom
Calculated total energy ... -3.601 eV/atom
Space group ... I4/mmm (139)
ΔE to the lowest computed polymorph ... 0.960 eV per atom